Record 1
An optimized crystal structure of Y6AsC2S3, computed with PBE.

* raw total energy: -7.6346 eV/atom
* space group: C2/m (12)
* E_form (uncorrected): -1.45 eV/atom

Structure (POSCAR):
```
Y6AsC2S3
1.0
-3.052 2.106 -0.934
-3.591 -2.279 6.596
5.673 5.959 2.728
S Y As C
3 6 1 2
Cartesian
-3.322 -0.086 2.831
-1.637 0.391 6.229
0.666 5.395 2.161
-2.089 2.243 4.054
-0.533 3.183 1.090
-0.438 2.603 7.300
-0.161 6.161 6.589
1.119 3.544 4.336
-0.810 -0.374 1.801
-1.526 1.053 -0.467
0.193 1.608 2.997
-1.163 4.178 5.393
```


Record 2
An optimized crystal structure of Y8As4CS3, computed with PBE.

* raw total energy: -7.3293 eV/atom
* space group: R-3m (166)
* E_form (uncorrected): -1.58 eV/atom

Structure (POSCAR):
```
Y8As4CS3
1.0
-0.288 -1.012 7.917
7.785 -1.728 0.063
-2.553 6.836 -3.247
S Y As C
3 8 4 1
Cartesian
2.472 2.048 2.366
2.616 2.554 -1.592
3.749 -1.370 3.990
4.342 1.361 4.361
2.002 -0.693 1.878
3.094 5.325 -1.342
0.602 2.734 0.372
4.447 1.701 0.379
0.497 2.394 4.353
2.941 4.788 2.855
1.850 -1.230 6.074
-1.421 2.912 2.335
0.000 0.000 0.000
-0.144 -0.506 3.959
-1.277 3.418 -1.624
3.893 -0.864 0.031
```


Record 3
An optimized crystal structure of SbAs2C, computed with PBE.

* raw total energy: -4.8384 eV/atom
* space group: I-42d (122)
* E_form (uncorrected): 0.82 eV/atom

Structure (POSCAR):
```
SbAs2C
1.0
6.233 0.000 0.000
0.000 6.233 0.000
3.116 3.116 4.067
C Sb As
2 2 4
Cartesian
3.116 6.233 2.034
3.116 3.116 0.000
0.000 0.000 0.000
6.233 3.116 2.034
7.791 7.156 3.050
4.675 5.310 3.050
4.039 1.558 1.017
2.194 4.675 1.017
```


Record 4
An optimized crystal structure of Sb3AsC, computed with PBE.

* raw total energy: -4.2470 eV/atom
* space group: Pm-3m (221)
* E_form (uncorrected): 1.00 eV/atom

Structure (POSCAR):
```
Sb3AsC
1.0
4.788 0.000 0.000
0.000 4.788 0.000
0.000 0.000 4.788
Sb As C
3 1 1
Cartesian
0.000 0.000 2.394
2.394 0.000 0.000
0.000 2.394 0.000
2.394 2.394 2.394
0.000 0.000 0.000
```


Record 5
An optimized crystal structure of SbAs2C2, computed with PBE.

* raw total energy: -4.8715 eV/atom
* space group: I4/mmm (139)
* E_form (uncorrected): 1.50 eV/atom

Structure (POSCAR):
```
SbAs2C2
1.0
4.164 0.000 0.000
0.000 4.164 0.000
2.082 2.082 5.290
Sb As C
1 2 2
Cartesian
0.000 0.000 0.000
2.082 4.164 2.645
4.164 2.082 2.645
2.082 2.082 2.756
4.164 4.164 2.533
```


Record 6
An optimized crystal structure of Sb2AsC, computed with PBE.

* raw total energy: -4.6734 eV/atom
* space group: I-42d (122)
* E_form (uncorrected): 0.86 eV/atom

Structure (POSCAR):
```
Sb2AsC
1.0
-3.952 -2.691 4.340
0.641 -5.706 -2.954
1.720 -5.116 3.198
Sb As C
4 2 2
Cartesian
-1.651 -10.799 3.811
0.091 -7.371 2.719
0.070 -5.363 -0.211
-1.693 -3.492 2.850
0.000 0.000 0.000
-1.944 -6.002 4.116
-1.656 -4.198 0.693
0.353 -7.510 0.469
```


Record 7
An optimized crystal structure of SbAs3C, computed with PBE.

* raw total energy: -4.4881 eV/atom
* space group: Pm-3m (221)
* E_form (uncorrected): 0.97 eV/atom

Structure (POSCAR):
```
SbAs3C
1.0
-2.918 3.393 -0.253
-3.344 -2.800 1.033
0.624 0.862 4.354
Sb C As
1 1 3
Cartesian
-2.819 0.727 2.567
0.000 0.000 0.000
0.312 0.431 2.177
-1.459 1.696 -0.127
-1.672 -1.400 0.517
```


Record 8
An optimized crystal structure of SbAs3C, computed with PBE.

* raw total energy: -3.1214 eV/atom
* space group: Pm-3m (221)
* E_form (uncorrected): 2.34 eV/atom

Structure (POSCAR):
```
SbAs3C
1.0
5.302 0.000 0.000
0.000 5.302 0.000
0.000 0.000 5.302
As C Sb
3 1 1
Cartesian
0.000 2.651 0.000
0.000 0.000 2.651
2.651 0.000 0.000
2.651 2.651 2.651
0.000 0.000 0.000
```